# Li3PrPb4 | the Alexandria database | PBE | relaxed
data_Li3PrPb4
_chemical_formula_sum 'Li3 Pr1 Pb4'
_symmetry_space_group_name_H-M 'P 4/m m m'
_symmetry_Int_Tables_number 123
_symmetry_space_group_name_Hall '-P 4 2'
_cell_length_a 5.2322
_cell_length_b 5.2322
_cell_length_c 7.3987
_cell_angle_alpha 90.00
_cell_angle_beta 90.00
_cell_angle_gamma 90.00
loop_
_atom_site_label
_atom_site_type_symbol
_atom_site_fract_x
_atom_site_fract_y
_atom_site_fract_z
Li1 Li 0.0000 0.0000 0.0000
Li2 Li 0.0000 0.0000 0.5000
Li3 Li 0.5000 0.5000 0.0000
Pr1 Pr 0.5000 0.5000 0.5000
Pb1 Pb 0.0000 0.5000 0.2209
# * density of states at the Fermi level: 0.391 states/eV per atom
# * DFT formation energy: -30.96 kJ per mole of atoms
# * total magnetic moment: 0.00 μB per formula unit
# * crystal system: tetragonal